[1]
Computed, not measured: an optimized crystal structure of AcTb2Dy6 at the GGA-PBE level of DFT.

Unit cell a=3.627 b=3.627 c=26.500 alpha=90.00 beta=90.00 gamma=120.00
Each line ends with the local moment (μB).
Element x y z (fractional)
Dy 0.667 0.333 0.882  -0.02
Dy 0.333 0.667 0.777  -0.05
Dy 0.333 0.667 0.223  -0.05
Dy 0.333 0.667 0.564  -0.15
Dy 0.333 0.667 0.436  -0.15
Dy 0.667 0.333 0.118  -0.02
Tb 0.667 0.333 0.331  -0.06
Tb 0.667 0.333 0.669  -0.06
Ac 0.333 0.667 0.000  0.01

Calculated values
- energy (eV/f.u.) = -40.26
- size of the total moment (μB per cell) = 0.77
- energy of formation (eV/atom) = 0.08
- symmetry = P-6m2, No. 187
- polymorph energy (0 for the lowest one) (meV per atom) = 0.0

[2]
Computed, not measured: an optimized crystal structure of Mg2TaAgPd at the GGA-PBE level of DFT.

Unit cell a=4.705 b=4.967 c=4.705 alpha=90.00 beta=90.00 gamma=90.00
Each line ends with the local moment (μB).
Element x y z (fractional)
Mg 0.000 0.000 0.500  -0.01
Mg 0.500 0.000 0.000  0.00
Ta 0.500 0.500 0.500  1.12
Ag 0.000 0.000 0.000  -0.01
Pd 0.000 0.500 0.000  0.03

Calculated values
- energy (eV/f.u.) = -18.05
- size of the total moment (μB per cell) = 1.70
- energy of formation (eV/atom) = 1.01
- symmetry = P4/mmm, No. 123

Number 1: volume 302 Å³ per cell. Number 2: volume 110 Å³ per cell.